Compound: YSb2O
Source: the Alexandria database
Functional: PBE
Structure: optimized geometry

```
data_YSb2O
_cell_length_a 7.094
_cell_length_b 7.094
_cell_length_c 7.530
_cell_angle_alpha 90.00
_cell_angle_beta 90.00
_cell_angle_gamma 90.00
_symmetry_space_group_name_H-M 'I -4 2 d'
_symmetry_Int_Tables_number 122
_symmetry_space_group_name_Hall 'I -4 2bw'
loop_
_atom_site_label
_atom_site_fract_x
_atom_site_fract_y
_atom_site_fract_z
Y1 0.000 0.000 0.000
Sb1 0.145 0.250 0.625
O1 0.000 0.000 0.500
```

Compound: Y2Sb2O7
Source: the Alexandria database
Functional: PBE
Structure: optimized geometry

```
data_Y2Sb2O7
_cell_length_a 7.5528
_cell_length_b 7.5528
_cell_length_c 18.5877
_cell_angle_alpha 90.00
_cell_angle_beta 90.00
_cell_angle_gamma 120.00
_symmetry_space_group_name_H-M 'P 31 2 1'
_symmetry_Int_Tables_number 152
loop_
_symmetry_equiv_pos_as_xyz
'x,y,z'
'-y,x-y,z+1/3'
'-x+y,-x,z+2/3'
'y,x,-z'
'x-y,-y,-z+2/3'
'-x,-x+y,-z+1/3'
loop_
_atom_site_label
_atom_site_fract_x
_atom_site_fract_y
_atom_site_fract_z
Y1 0.0000 0.8206 0.1667
Y2 0.0000 0.8337 0.6667
Y3 0.1832 0.6824 0.5110
Sb1 0.0000 0.2968 0.1667
Sb2 0.0000 0.3241 0.6667
Sb3 0.1646 0.6664 0.0004
O1 0.0035 0.8052 0.0267
O2 0.0064 0.3340 0.7891
O3 0.0162 0.8528 0.7844
O4 0.0526 0.4365 0.3080
O5 0.1079 0.6594 0.8935
O6 0.2040 0.6841 0.6390
O7 0.2263 0.6936 0.1059
```

Compound: YSbO2
Source: the Alexandria database
Functional: PBE
Structure: optimized geometry

```
data_YSbO2
_cell_length_a 3.4746
_cell_length_b 3.4746
_cell_length_c 20.1801
_cell_angle_alpha 90.00
_cell_angle_beta 90.00
_cell_angle_gamma 120.00
_symmetry_space_group_name_H-M 'R -3 m'
_symmetry_Int_Tables_number 166
_symmetry_space_group_name_Hall '-R 3 2"'
loop_
_atom_site_label
_atom_site_fract_x
_atom_site_fract_y
_atom_site_fract_z
Y1 0.0000 0.0000 0.0000
Sb1 0.0000 0.0000 0.5000
O1 0.0000 0.0000 0.3872
```

Compound: Y3Sb2O2
Source: the Alexandria database
Functional: PBE
Structure: optimized geometry

```
data_Y3Sb2O2
_cell_length_a 12.272
_cell_length_b 3.871
_cell_length_c 7.417
_cell_angle_alpha 90.00
_cell_angle_beta 109.31
_cell_angle_gamma 90.00
_symmetry_space_group_name_H-M 'C 1 2/m 1'
_symmetry_Int_Tables_number 12
loop_
_symmetry_equiv_pos_as_xyz
'x,y,z'
'-x,-y,-z'
'-x,y,-z'
'x,-y,z'
'x+1/2,y+1/2,z'
'-x+1/2,-y+1/2,-z'
'-x+1/2,y+1/2,-z'
'x+1/2,-y+1/2,z'
loop_
_atom_site_label
_atom_site_fract_x
_atom_site_fract_y
_atom_site_fract_z
Y1 0.000 0.000 0.000
Y2 0.189 0.500 0.790
Sb1 0.119 0.500 0.337
O1 0.162 0.000 0.920
```

| no. | raw total energy (eV/atom) | ΔE_f (raw) (eV/f.u.) |
| --- | --- | --- |
| 1 | -5.4557 | -2.156 |
| 2 | -7.4447 | -26.011 |
| 3 | -7.4668 | -9.364 |
| 4 | -7.5125 | -15.034 |